First-principles (PBE+U) data for a geometry-optimized LaV2HgO8 structure, as listed in the Alexandria database.

Cell lengths 5.9612, 5.9612, 6.6344 Å; angles 90.00, 90.00, 120.00 degrees
Closest atoms and distances in Å follow each position.
Fractional positions:
La  0.0000  0.0000  0.0000  6 O 2.41
V  0.6667  0.3333  0.3358  4 O 1.65-1.79
O  0.1690  0.3381  0.7486  1 V 1.79
Hg  0.0000  0.0000  0.5000  6 O 2.40
O  0.3333  0.6667  0.4155  1 V 1.65
O  0.8310  0.1690  0.2514  1 V 1.79
O  0.6667  0.3333  0.5845  1 V 1.65
V  0.3333  0.6667  0.6642  4 O 1.65-1.79
O  0.3381  0.1690  0.2514  1 V 1.79
O  0.1690  0.8310  0.7486  1 V 1.79
O  0.6619  0.8310  0.7486  1 V 1.79
O  0.8310  0.6619  0.2514  1 V 1.79

Calculated values
Its total energy is -6.75 eV per atom. Its theoretical density is 4.63 g cm⁻³.

---

First-principles (PBE+U) data for a geometry-optimized NaGeMoF2 structure, as listed in the Alexandria database.

Cell lengths 4.0151, 5.5151, 4.0151 Å; angles 90.00, 90.00, 90.00 degrees
Closest atoms and distances in Å follow each position.
Fractional positions:
Na  0.0000  0.0000  0.0000  4 F 2.01
Mo  0.0000  0.5000  0.0000  2 Na 2.76, 4 Ge 2.84
F  0.0000  0.0000  0.5000  2 Na 2.01
Ge  0.5000  0.5000  0.5000  4 Mo 2.84
F  0.5000  0.0000  0.0000  2 Na 2.01

Calculated values
Its total energy is -3.89 eV per atom. Its theoretical density is 4.29 g cm⁻³.

---

> Which value of theoretical density does entry 1 give?

4.63 g cm⁻³